Here is crystalline LiFe2Rh at its relaxed geometry from Alexandria via LeMat-Bulk. Energies are from GGA-PBE.

Results
**Calculated total energy**: -24.4 eV/f.u.
**ΔH_f (0 K)**: 0.441 eV/atom

Cell and atoms, written as POSCAR:
```
LiFe2Rh
1.0
6.704 0.000 0.000
0.000 6.704 0.000
3.352 3.352 2.470
Rh Fe Li
2 4 2
Cartesian
0.000 0.000 0.000
6.704 3.352 1.235
5.044 1.676 0.618
1.660 5.028 0.618
5.028 5.012 1.853
8.380 8.396 1.853
3.352 3.352 0.000
3.352 6.704 1.235
```

Here is crystalline LiFeRh at its relaxed geometry from Alexandria via LeMat-Bulk. Energies are from GGA-PBE.

Results
**Calculated total energy**: -16.9 eV/f.u.
**ΔH_f (0 K)**: 0.268 eV/atom

Cell and atoms, written as POSCAR:
```
LiFeRh
1.0
3.429 0.000 0.000
0.000 3.429 0.000
0.000 0.000 6.321
Rh Fe Li
2 2 2
Cartesian
0.000 1.715 5.001
1.715 0.000 1.319
0.000 0.000 3.160
1.715 1.715 3.160
0.000 1.715 1.158
1.715 0.000 5.162
```

Here is crystalline Li2Fe2Rh at its relaxed geometry from Alexandria via LeMat-Bulk. Energies are from GGA-PBE.

Results
**Calculated total energy**: -26.4 eV/f.u.
**ΔH_f (0 K)**: 0.335 eV/atom

Cell and atoms, written as POSCAR:
```
Li2Fe2Rh
1.0
6.547 0.000 0.000
0.000 6.547 0.000
0.000 0.000 2.774
Rh Fe Li
2 4 4
Cartesian
0.000 0.000 0.000
3.273 3.273 0.000
1.202 4.475 1.387
4.475 5.345 1.387
5.345 2.072 1.387
2.072 1.202 1.387
2.490 5.764 0.000
5.764 4.056 0.000
4.056 0.783 0.000
0.783 2.490 0.000
```

Here is crystalline LiFeRh at its relaxed geometry from Alexandria via LeMat-Bulk. Energies are from GGA-PBE.

Results
**Calculated total energy**: -17.8 eV/f.u.
**ΔH_f (0 K)**: -0.033 eV/atom

Cell and atoms, written as POSCAR:
```
LiFeRh
1.0
-4.618 0.819 7.907
-2.144 -2.895 3.383
4.260 1.503 -2.003
Rh Fe Li
2 2 2
Cartesian
0.827 0.379 2.128
-4.685 -1.408 8.778
2.685 1.048 -0.046
-1.033 -0.286 4.310
-6.526 -2.004 11.001
-2.840 -0.817 6.546
```

Here is crystalline LiFe2Rh at its relaxed geometry from Alexandria via LeMat-Bulk. Energies are from GGA-PBE.

Results
**Calculated total energy**: -25.9 eV/f.u.
**ΔH_f (0 K)**: 0.061 eV/atom

Cell and atoms, written as POSCAR:
```
LiFe2Rh
1.0
4.136 0.000 0.000
2.068 3.582 0.000
2.068 1.194 3.377
Fe Li Rh
2 1 1
Cartesian
0.000 0.000 0.000
2.068 1.194 0.844
4.136 2.388 1.689
6.205 3.582 2.533
```

Here is crystalline LiFeRh at its relaxed geometry from Alexandria via LeMat-Bulk. Energies are from GGA-PBE.

Results
**Calculated total energy**: -17.7 eV/f.u.
**ΔH_f (0 K)**: -0.002 eV/atom

Cell and atoms, written as POSCAR:
```
LiFeRh
1.0
12.888 0.000 0.115
4.389 1.355 -2.228
-4.389 1.355 2.228
Rh Fe Li
2 2 2
Cartesian
4.996 1.355 -0.759
13.715 1.355 -0.832
-1.541 1.355 2.094
9.231 1.355 -0.806
7.118 1.355 2.141
2.716 1.355 2.115
```

Here is crystalline LiFe2Rh at its relaxed geometry from Alexandria via LeMat-Bulk. Energies are from GGA-PBE.

Results
**Calculated total energy**: -25.9 eV/f.u.
**ΔH_f (0 K)**: 0.073 eV/atom

Cell and atoms, written as POSCAR:
```
LiFe2Rh
1.0
-1.248 -1.311 -2.392
2.659 0.002 -1.388
1.133 -5.024 2.162
Fe Li Rh
2 1 1
Cartesian
0.007 -0.032 0.014
0.987 -1.904 -1.352
0.568 -2.518 1.084
1.548 -4.390 -0.282
```

Here is crystalline LiFeRh2 at its relaxed geometry from Alexandria via LeMat-Bulk. Energies are from GGA-PBE.

Results
**Calculated total energy**: -25.5 eV/f.u.
**ΔH_f (0 K)**: -0.103 eV/atom

Cell and atoms, written as POSCAR:
```
LiFeRh2
1.0
-0.327 -1.073 2.814
-3.548 -1.775 -1.089
2.035 -3.413 -1.065
Rh Fe Li
2 1 1
Cartesian
0.000 0.000 0.000
-0.756 -2.594 -1.077
-1.937 -1.424 0.862
0.854 -2.243 0.874
```

- Which of these has the lowest ΔH_f (0 K)?
  LiFeRh2

- Look up the calculated total energy of the first one.
  -24.4 eV/f.u.